## LiAs5Pt3 (PBE)

Data for a relaxed structure of LiAs5Pt3.

Calculated values
V = 203.3 Å³ per cell
Total energy = -4.8038 eV/atom

a = 5.8589 Å, b = 5.8589 Å, c = 6.8394 Å
α = 90.00°, β = 90.00°, γ = 120.00°
Space group P6/mmm (No. 191)
Asymmetric unit:
Li: 0.0000 0.0000 0.0000
As: 0.0000 0.0000 0.5000
As: 0.3333 0.6667 0.2243
Pt: 0.0000 0.5000 0.5000